#one
DFT (PBE) results for an optimized crystal structure of PrHoTc.

Calculated values
Volume ... 26.46 Å³/atom

```
data_PrHoTc
_chemical_formula_sum 'Pr2 Ho2 Tc2'
_symmetry_space_group_name_H-M 'I 4 m m'
_symmetry_Int_Tables_number 107
_symmetry_space_group_name_Hall 'I 4 -2'
_cell_length_a 3.5085
_cell_length_b 3.5085
_cell_length_c 12.8978
_cell_angle_alpha 90.00
_cell_angle_beta 90.00
_cell_angle_gamma 90.00
loop_
_atom_site_label
_atom_site_type_symbol
_atom_site_fract_x
_atom_site_fract_y
_atom_site_fract_z
Pr1 Pr 0.0000 0.0000 0.0000
Ho1 Ho 0.0000 0.0000 0.7422
Tc1 Tc 0.0000 0.0000 0.3642
```

=====

#two
DFT (PBE) results for an optimized crystal structure of PrHoTc.

Calculated values
Volume ... 27.92 Å³/atom

```
data_PrHoTc
_chemical_formula_sum 'Pr8 Ho8 Tc8'
_symmetry_space_group_name_H-M 'C m c e'
_symmetry_Int_Tables_number 64
_symmetry_space_group_name_Hall '-C 2ac 2'
_cell_length_a 7.0120
_cell_length_b 12.5058
_cell_length_c 7.6416
_cell_angle_alpha 90.00
_cell_angle_beta 90.00
_cell_angle_gamma 90.00
loop_
_atom_site_label
_atom_site_type_symbol
_atom_site_fract_x
_atom_site_fract_y
_atom_site_fract_z
Pr1 Pr 0.0000 0.1972 0.1126
Ho1 Ho 0.2500 0.0405 0.7500
Tc1 Tc 0.0000 0.0961 0.4638
```

=====

Most stable: #one. Least stable: #two.

=====

#one
DFT (PBE) results for an optimized crystal structure of PrHo2Te4.

Calculated values
Volume ... 33.06 Å³/atom

```
data_PrHo2Te4
_chemical_formula_sum 'Pr4 Ho8 Te16'
_symmetry_space_group_name_H-M 'C m c m'
_symmetry_Int_Tables_number 63
_symmetry_space_group_name_Hall '-C 2c 2'
_cell_length_a 4.3057
_cell_length_b 14.3456
_cell_length_c 14.9855
_cell_angle_alpha 90.00
_cell_angle_beta 90.00
_cell_angle_gamma 90.00
loop_
_atom_site_label
_atom_site_type_symbol
_atom_site_fract_x
_atom_site_fract_y
_atom_site_fract_z
Pr1 Pr 0.0000 0.1247 0.2500
Ho1 Ho 0.0000 0.3687 0.0676
Te1 Te 0.0000 0.0000 0.0000
Te2 Te 0.0000 0.2748 0.6193
Te3 Te 0.0000 0.4583 0.2500
```

=====

#two
DFT (PBE) results for an optimized crystal structure of PrHo2Te4.

Calculated values
Volume ... 34.42 Å³/atom

```
data_PrHo2Te4
_chemical_formula_sum 'Pr1 Ho2 Te4'
_symmetry_space_group_name_H-M 'P 1 2/m 1'
_symmetry_Int_Tables_number 10
_cell_length_a 7.5396
_cell_length_b 4.3741
_cell_length_c 7.6838
_cell_angle_alpha 90.00
_cell_angle_beta 108.05
_cell_angle_gamma 90.00
loop_
_symmetry_equiv_pos_as_xyz
'x,y,z'
'-x,-y,-z'
'-x,y,-z'
'x,-y,z'
loop_
_atom_site_label
_atom_site_type_symbol
_atom_site_fract_x
_atom_site_fract_y
_atom_site_fract_z
Pr1 Pr 0.0000 0.0000 0.0000
Ho1 Ho 0.0000 0.5000 0.5000
Ho2 Ho 0.5000 0.0000 0.5000
Te1 Te 0.2499 0.0000 0.7401
Te2 Te 0.2643 0.5000 0.2547
```

=====

Most stable: #two. Least stable: #one.

=====

#one
DFT (PBE) results for an optimized crystal structure of PrHoTe2.

Calculated values
Volume ... 28.24 Å³/atom

```
data_PrHoTe2
_chemical_formula_sum 'Pr1 Ho1 Te2'
_symmetry_space_group_name_H-M 'P 4/m m m'
_symmetry_Int_Tables_number 123
_symmetry_space_group_name_Hall '-P 4 2'
_cell_length_a 5.4197
_cell_length_b 5.4197
_cell_length_c 3.8454
_cell_angle_alpha 90.00
_cell_angle_beta 90.00
_cell_angle_gamma 90.00
loop_
_atom_site_label
_atom_site_type_symbol
_atom_site_fract_x
_atom_site_fract_y
_atom_site_fract_z
Pr1 Pr 0.0000 0.0000 0.0000
Ho1 Ho 0.5000 0.5000 0.0000
Te1 Te 0.0000 0.5000 0.5000
```

=====

#two
DFT (PBE) results for an optimized crystal structure of PrHoTe2.

Calculated values
Volume ... 28.26 Å³/atom

```
data_PrHoTe2
_chemical_formula_sum 'Pr4 Ho4 Te8'
_symmetry_space_group_name_H-M 'F m -3 m'
_symmetry_Int_Tables_number 225
_symmetry_space_group_name_Hall '-F 4 2 3'
_cell_length_a 7.6754
_cell_length_b 7.6754
_cell_length_c 7.6754
_cell_angle_alpha 90.00
_cell_angle_beta 90.00
_cell_angle_gamma 90.00
loop_
_atom_site_label
_atom_site_type_symbol
_atom_site_fract_x
_atom_site_fract_y
_atom_site_fract_z
Pr1 Pr 0.0000 0.0000 0.0000
Ho1 Ho 0.0000 0.0000 0.5000
Te1 Te 0.2500 0.2500 0.2500
```

=====

#three
DFT (PBE) results for an optimized crystal structure of PrHoTe2.

Calculated values
Volume ... 30.96 Å³/atom

```
data_PrHoTe2
_chemical_formula_sum 'Pr3 Ho3 Te6'
_symmetry_space_group_name_H-M 'R 3 m'
_symmetry_Int_Tables_number 160
_symmetry_space_group_name_Hall 'R 3 -2"'
_cell_length_a 4.3107
_cell_length_b 4.3107
_cell_length_c 23.0867
_cell_angle_alpha 90.00
_cell_angle_beta 90.00
_cell_angle_gamma 120.00
loop_
_atom_site_label
_atom_site_type_symbol
_atom_site_fract_x
_atom_site_fract_y
_atom_site_fract_z
Pr1 Pr 0.0000 0.0000 0.0000
Ho1 Ho 0.0000 0.0000 0.8257
Te1 Te 0.0000 0.0000 0.2411
Te2 Te 0.0000 0.0000 0.4185
```

=====

Most stable: #three. Least stable: #two.

=====

#one
DFT (PBE) results for an optimized crystal structure of Pr2Ho4Th.

Calculated values
Volume ... 32.80 Å³/atom

```
data_Pr2Ho4Th
_chemical_formula_sum 'Pr4 Ho8 Th2'
_symmetry_space_group_name_H-M 'C 1 m 1'
_symmetry_Int_Tables_number 8
_cell_length_a 6.2628
_cell_length_b 3.6096
_cell_length_c 20.4256
_cell_angle_alpha 90.00
_cell_angle_beta 95.97
_cell_angle_gamma 90.00
loop_
_symmetry_equiv_pos_as_xyz
'x,y,z'
'x,-y,z'
'x+1/2,y+1/2,z'
'x+1/2,-y+1/2,z'
loop_
_atom_site_label
_atom_site_type_symbol
_atom_site_fract_x
_atom_site_fract_y
_atom_site_fract_z
Pr1 Pr 0.0000 0.0000 0.0000
Pr2 Pr 0.0900 0.0000 0.2882
Ho1 Ho 0.2785 0.0000 0.8539
Ho2 Ho 0.3075 0.5000 0.4334
Ho3 Ho 0.3765 0.0000 0.1451
Ho4 Ho 0.4003 0.5000 0.7163
Th1 Th 0.1814 0.0000 0.5746
```

=====

#two
DFT (PBE) results for an optimized crystal structure of Pr2Ho4Th.

Calculated values
Volume ... 39.61 Å³/atom

```
data_Pr2Ho4Th
_chemical_formula_sum 'Pr4 Ho8 Th2'
_symmetry_space_group_name_H-M 'I 4/m m m'
_symmetry_Int_Tables_number 139
_symmetry_space_group_name_Hall '-I 4 2'
_cell_length_a 5.7034
_cell_length_b 5.7034
_cell_length_c 17.0489
_cell_angle_alpha 90.00
_cell_angle_beta 90.00
_cell_angle_gamma 90.00
loop_
_atom_site_label
_atom_site_type_symbol
_atom_site_fract_x
_atom_site_fract_y
_atom_site_fract_z
Pr1 Pr 0.0000 0.0000 0.1178
Ho1 Ho 0.0000 0.0000 0.3212
Ho2 Ho 0.0000 0.5000 0.0000
Th1 Th 0.0000 0.0000 0.5000
```

=====

Most stable: #one. Least stable: #two.

=====

#one
DFT (PBE) results for an optimized crystal structure of Pr3Ho4Th.

Calculated values
Volume ... 33.38 Å³/atom

```
data_Pr3Ho4Th
_chemical_formula_sum 'Pr6 Ho8 Th2'
_symmetry_space_group_name_H-M 'I m m m'
_symmetry_Int_Tables_number 71
_symmetry_space_group_name_Hall '-I 2 2'
_cell_length_a 3.4458
_cell_length_b 11.7155
_cell_length_c 13.2312
_cell_angle_alpha 90.00
_cell_angle_beta 90.00
_cell_angle_gamma 90.00
loop_
_atom_site_label
_atom_site_type_symbol
_atom_site_fract_x
_atom_site_fract_y
_atom_site_fract_z
Pr1 Pr 0.0000 0.0000 0.0000
Pr2 Pr 0.0000 0.5000 0.2317
Ho1 Ho 0.0000 0.2515 0.3668
Th1 Th 0.0000 0.0000 0.5000
```

=====

#two
DFT (PBE) results for an optimized crystal structure of Pr3Ho4Th.

Calculated values
Volume ... 33.37 Å³/atom

```
data_Pr3Ho4Th
_chemical_formula_sum 'Pr6 Ho8 Th2'
_symmetry_space_group_name_H-M 'P m n 21'
_symmetry_Int_Tables_number 31
_cell_length_a 11.6581
_cell_length_b 7.2630
_cell_length_c 6.3051
_cell_angle_alpha 90.00
_cell_angle_beta 90.00
_cell_angle_gamma 90.00
loop_
_symmetry_equiv_pos_as_xyz
'x,y,z'
'-x+1/2,-y,z+1/2'
'-x,y,z'
'x+1/2,-y,z+1/2'
loop_
_atom_site_label
_atom_site_type_symbol
_atom_site_fract_x
_atom_site_fract_y
_atom_site_fract_z
Pr1 Pr 0.0000 0.1208 0.0000
Pr2 Pr 0.2465 0.1245 0.3366
Ho1 Ho 0.0000 0.3803 0.5064
Ho2 Ho 0.0000 0.6269 0.0110
Ho3 Ho 0.2482 0.6236 0.3452
Th1 Th 0.0000 0.8680 0.5128
```

=====

Most stable: #two. Least stable: #one.

=====

#one
DFT (PBE) results for an optimized crystal structure of PrHo2Th.

Calculated values
Volume ... 32.43 Å³/atom

```
data_PrHo2Th
_chemical_formula_sum 'Pr2 Ho4 Th2'
_symmetry_space_group_name_H-M 'C m m m'
_symmetry_Int_Tables_number 65
_symmetry_space_group_name_Hall '-C 2 2'
_cell_length_a 7.2211
_cell_length_b 10.0036
_cell_length_c 3.5919
_cell_angle_alpha 90.00
_cell_angle_beta 90.00
_cell_angle_gamma 90.00
loop_
_atom_site_label
_atom_site_type_symbol
_atom_site_fract_x
_atom_site_fract_y
_atom_site_fract_z
Pr1 Pr 0.0000 0.0000 0.0000
Ho1 Ho 0.2500 0.2500 0.5000
Th1 Th 0.0000 0.5000 0.0000
```

=====

#two
DFT (PBE) results for an optimized crystal structure of PrHo2Th.

Calculated values
Volume ... 33.25 Å³/atom

```
data_PrHo2Th
_chemical_formula_sum 'Pr3 Ho6 Th3'
_symmetry_space_group_name_H-M 'R -3 m'
_symmetry_Int_Tables_number 166
_symmetry_space_group_name_Hall '-R 3 2"'
_cell_length_a 3.5200
_cell_length_b 3.5200
_cell_length_c 37.1809
_cell_angle_alpha 90.00
_cell_angle_beta 90.00
_cell_angle_gamma 120.00
loop_
_atom_site_label
_atom_site_type_symbol
_atom_site_fract_x
_atom_site_fract_y
_atom_site_fract_z
Pr1 Pr 0.0000 0.0000 0.0000
Ho1 Ho 0.0000 0.0000 0.0922
Th1 Th 0.0000 0.0000 0.5000
```

=====

#three
DFT (PBE) results for an optimized crystal structure of PrHo2Th.

Calculated values
Volume ... 32.42 Å³/atom

```
data_PrHo2Th
_chemical_formula_sum 'Pr1 Ho2 Th1'
_symmetry_space_group_name_H-M 'P 4/m m m'
_symmetry_Int_Tables_number 123
_symmetry_space_group_name_Hall '-P 4 2'
_cell_length_a 5.1009
_cell_length_b 5.1009
_cell_length_c 4.9840
_cell_angle_alpha 90.00
_cell_angle_beta 90.00
_cell_angle_gamma 90.00
loop_
_atom_site_label
_atom_site_type_symbol
_atom_site_fract_x
_atom_site_fract_y
_atom_site_fract_z
Pr1 Pr 0.0000 0.0000 0.0000
Ho1 Ho 0.0000 0.5000 0.5000
Th1 Th 0.5000 0.5000 0.0000
```

=====

Most stable: #one. Least stable: #two.

=====

#one
DFT (PBE) results for an optimized crystal structure of PrHo2Th.

Calculated values
Volume ... 32.76 Å³/atom

```
data_PrHo2Th
_chemical_formula_sum 'Pr4 Ho8 Th4'
_symmetry_space_group_name_H-M 'F m -3 m'
_symmetry_Int_Tables_number 225
_symmetry_space_group_name_Hall '-F 4 2 3'
_cell_length_a 8.0629
_cell_length_b 8.0629
_cell_length_c 8.0629
_cell_angle_alpha 90.00
_cell_angle_beta 90.00
_cell_angle_gamma 90.00
loop_
_atom_site_label
_atom_site_type_symbol
_atom_site_fract_x
_atom_site_fract_y
_atom_site_fract_z
Pr1 Pr 0.0000 0.0000 0.0000
Ho1 Ho 0.2500 0.2500 0.2500
Th1 Th 0.0000 0.0000 0.5000
```

=====

#two
DFT (PBE) results for an optimized crystal structure of PrHo2Th.

Calculated values
Volume ... 32.74 Å³/atom

```
data_PrHo2Th
_chemical_formula_sum 'Pr2 Ho4 Th2'
_symmetry_space_group_name_H-M 'P -1'
_symmetry_Int_Tables_number 2
_cell_length_a 3.5456
_cell_length_b 6.8488
_cell_length_c 11.1655
_cell_angle_alpha 90.57
_cell_angle_beta 90.08
_cell_angle_gamma 104.94
loop_
_symmetry_equiv_pos_as_xyz
'x,y,z'
'-x,-y,-z'
loop_
_atom_site_label
_atom_site_type_symbol
_atom_site_fract_x
_atom_site_fract_y
_atom_site_fract_z
Pr1 Pr 0.1292 0.2583 0.4861
Ho1 Ho 0.2549 0.5123 0.7566
Ho2 Ho 0.4780 0.9563 0.2424
Th1 Th 0.1287 0.2541 0.0133
```

=====

Most stable: #two. Least stable: #one.

=====

#one
DFT (PBE) results for an optimized crystal structure of PrHo2Th.

Calculated values
Volume ... 32.58 Å³/atom

```
data_PrHo2Th
_chemical_formula_sum 'Pr1 Ho2 Th1'
_symmetry_space_group_name_H-M 'P 4/m m m'
_symmetry_Int_Tables_number 123
_symmetry_space_group_name_Hall '-P 4 2'
_cell_length_a 3.5991
_cell_length_b 3.5991
_cell_length_c 10.0606
_cell_angle_alpha 90.00
_cell_angle_beta 90.00
_cell_angle_gamma 90.00
loop_
_atom_site_label
_atom_site_type_symbol
_atom_site_fract_x
_atom_site_fract_y
_atom_site_fract_z
Pr1 Pr 0.0000 0.0000 0.0000
Ho1 Ho 0.5000 0.5000 0.2609
Th1 Th 0.0000 0.0000 0.5000
```

=====

#two
DFT (PBE) results for an optimized crystal structure of PrHo2Th.

Calculated values
Volume ... 32.62 Å³/atom

```
data_PrHo2Th
_chemical_formula_sum 'Pr3 Ho6 Th3'
_symmetry_space_group_name_H-M 'R 3 m'
_symmetry_Int_Tables_number 160
_symmetry_space_group_name_Hall 'R 3 -2"'
_cell_length_a 3.5903
_cell_length_b 3.5903
_cell_length_c 35.0656
_cell_angle_alpha 90.00
_cell_angle_beta 90.00
_cell_angle_gamma 120.00
loop_
_atom_site_label
_atom_site_type_symbol
_atom_site_fract_x
_atom_site_fract_y
_atom_site_fract_z
Pr1 Pr 0.0000 0.0000 0.0000
Ho1 Ho 0.0000 0.0000 0.4175
Ho2 Ho 0.0000 0.0000 0.5824
Th1 Th 0.0000 0.0000 0.8338
```

=====

Most stable: #one. Least stable: #two.